Entry 1:
The following is a PBE with a Hubbard U calculation of an optimized crystal structure of LiCaMn2O4, from the Alexandria database.

Properties
E_tot ... -6.824 eV/atom
Density of states at the Fermi level ... 4.463 states/eV per cell
M_tot ... 36.0 Bohr magnetons per cell

```
data_LiCaMn2O4
_space_group_name_H-M_alt 'C m c m'
_space_group_IT_number 63
_space_group_name_Hall '-C 2c 2'
_cell_length_a 3.2030
_cell_length_b 10.4399
_cell_length_c 10.4330
_cell_angle_alpha 90.00
_cell_angle_beta 90.00
_cell_angle_gamma 90.00
loop_
_atom_site_label
_atom_site_type_symbol
_atom_site_fract_x
_atom_site_fract_y
_atom_site_fract_z
Li1 Li 0.0000 0.1611 0.2500
Ca1 Ca 0.0000 0.1076 0.7500
Mn1 Mn 0.0000 0.3681 0.5547
O1 O 0.0000 0.0000 0.0000
O2 O 0.0000 0.2722 0.1137
O3 O 0.0000 0.4348 0.7500
```

***

Entry 2:
The following is a PBE with a Hubbard U calculation of an optimized crystal structure of LiCa2MnO, from the Alexandria database.

Properties
E_tot ... -3.015 eV/atom
Density of states at the Fermi level ... 5.089 states/eV per cell
M_tot ... 5.4 Bohr magnetons per cell

```
data_LiCa2MnO
_space_group_name_H-M_alt 'P 4/m m m'
_space_group_IT_number 123
_space_group_name_Hall '-P 4 2'
_cell_length_a 5.7991
_cell_length_b 5.7991
_cell_length_c 4.4508
_cell_angle_alpha 90.00
_cell_angle_beta 90.00
_cell_angle_gamma 90.00
loop_
_atom_site_label
_atom_site_type_symbol
_atom_site_fract_x
_atom_site_fract_y
_atom_site_fract_z
Li1 Li 0.0000 0.0000 0.0000
Ca1 Ca 0.0000 0.5000 0.5000
Mn1 Mn 0.0000 0.0000 0.5000
O1 O 0.5000 0.5000 0.0000
```

***

Entry 3:
The following is a PBE with a Hubbard U calculation of an optimized crystal structure of Li2Ca2MnO4, from the Alexandria database.

Properties
E_tot ... -5.904 eV/atom
M_tot ... 6.0 Bohr magnetons per cell

```
data_Li2Ca2MnO4
_space_group_name_H-M_alt 'C 1 2/m 1'
_space_group_IT_number 12
_cell_length_a 12.3280
_cell_length_b 3.1062
_cell_length_c 5.5602
_cell_angle_alpha 90.00
_cell_angle_beta 109.00
_cell_angle_gamma 90.00
loop_
_space_group_symop_operation_xyz
'x,y,z'
'-x,-y,-z'
'-x,y,-z'
'x,-y,z'
'x+1/2,y+1/2,z'
'-x+1/2,-y+1/2,-z'
'-x+1/2,y+1/2,-z'
'x+1/2,-y+1/2,z'
loop_
_atom_site_label
_atom_site_type_symbol
_atom_site_fract_x
_atom_site_fract_y
_atom_site_fract_z
Li1 Li 0.1787 0.0000 0.0178
Ca1 Ca 0.1323 0.5000 0.5268
Mn1 Mn 0.0000 0.5000 0.0000
O1 O 0.0148 0.0000 0.7691
O2 O 0.2341 0.5000 0.2355
```